Below is a relaxed LiSc2GaPd4 crystal, with properties calculated at the PBE level.

POSCAR file:
```
LiSc2GaPd4
1.0
-0.484 -2.674 -3.612
4.327 0.704 -1.101
1.709 -5.033 3.497
Pd Sc Li Ga
4 2 1 1
Cartesian
2.588 -0.898 0.318
3.448 -3.431 2.078
1.042 -5.120 0.823
0.182 -2.587 -0.937
0.854 -2.517 1.749
1.921 -0.985 -2.356
2.776 -3.502 -0.608
0.000 0.000 0.000
```

Values from the calculation:
SG ... P4/mmm
Final energy ... -0.2052 Ha/atom
Calculated volume ... 16.2 Å³/atom

Below is a relaxed Li2Sc2GaSnPd2 crystal, with properties calculated at the PBE level.

POSCAR file:
```
Li2Sc2GaSnPd2
1.0
4.534 0.000 0.000
0.000 4.534 0.000
0.000 0.000 6.490
Li Sn Sc Pd Ga
2 1 2 2 1
Cartesian
2.267 0.000 1.539
0.000 2.267 4.951
2.267 2.267 3.245
2.267 2.267 0.000
0.000 0.000 3.245
2.267 0.000 4.932
0.000 2.267 1.558
0.000 0.000 0.000
```

Values from the calculation:
SG ... P-4m2
Final energy ... -0.1825 Ha/atom
Calculated volume ... 16.7 Å³/atom

Below is a relaxed Li2ScZnGa2Pd2 crystal, with properties calculated at the PBE level.

POSCAR file:
```
Li2ScZnGa2Pd2
1.0
4.403 0.000 0.000
0.000 4.403 0.000
0.000 0.000 6.267
Pd Ga Li Sc Zn
2 2 2 1 1
Cartesian
2.202 0.000 4.659
0.000 2.202 1.608
2.202 2.202 0.000
0.000 0.000 3.134
0.000 2.202 4.499
2.202 0.000 1.768
0.000 0.000 0.000
2.202 2.202 3.134
```

Values from the calculation:
SG ... P-4m2
Final energy ... -0.1491 Ha/atom
Calculated volume ... 15.2 Å³/atom

Below is a relaxed Li2ZrScGa2Pd2 crystal, with properties calculated at the PBE level.

POSCAR file:
```
Li2ZrScGa2Pd2
1.0
4.479 0.000 0.000
0.000 4.479 0.000
0.000 0.000 6.340
Ga Zr Sc Li Pd
2 1 1 2 2
Cartesian
2.239 2.239 0.000
0.000 0.000 3.170
2.239 2.239 3.170
0.000 0.000 0.000
2.239 0.000 1.552
0.000 2.239 4.788
0.000 2.239 1.596
2.239 0.000 4.744
```

Values from the calculation:
SG ... P-4m2
Final energy ... -0.1847 Ha/atom
Calculated volume ... 15.9 Å³/atom

Below is a relaxed LiGaSiPd crystal, with properties calculated at the PBE level.

POSCAR file:
```
LiGaSiPd
1.0
0.000 3.060 3.060
3.060 0.000 3.060
3.060 3.060 0.000
Ga Li Si Pd
1 1 1 1
Cartesian
3.060 3.060 3.060
4.589 4.589 4.589
0.000 0.000 0.000
1.530 1.530 1.530
```

Values from the calculation:
SG ... F-43m
Final energy ... -0.1565 Ha/atom
Calculated volume ... 14.3 Å³/atom
Excess energy over the best structure of this formula in the dataset ... 0 meV/atom

Below is a relaxed LiGaSiPd crystal, with properties calculated at the PBE level.

POSCAR file:
```
LiGaSiPd
1.0
4.212 -0.971 -0.098
1.276 -3.974 -1.127
1.983 -0.641 -3.789
Si Pd Ga Li
1 1 1 1
Cartesian
1.868 -1.397 -1.254
3.736 -2.793 -2.507
0.000 0.000 0.000
5.604 -4.190 -3.761
```

Values from the calculation:
SG ... F-43m
Final energy ... -0.1542 Ha/atom
Calculated volume ... 14.3 Å³/atom
Excess energy over the best structure of this formula in the dataset ... 63 meV/atom

Below is a relaxed LiGaSnPd crystal, with properties calculated at the PBE level.

POSCAR file:
```
LiGaSnPd
1.0
-2.585 -3.779 0.392
-4.315 0.319 1.547
-3.525 -0.680 -2.868
Ga Sn Pd Li
1 1 1 1
Cartesian
-5.213 -2.070 -0.465
0.000 0.000 0.000
-2.606 -1.035 -0.232
-7.819 -3.105 -0.697
```

Values from the calculation:
SG ... F-43m
Final energy ... -0.1455 Ha/atom
Calculated volume ... 17.2 Å³/atom
Excess energy over the best structure of this formula in the dataset ... 0 meV/atom

Below is a relaxed Li4GaSnPd2 crystal, with properties calculated at the PBE level.

POSCAR file:
```
Li4GaSnPd2
1.0
4.394 0.000 0.000
0.000 4.394 0.000
0.000 0.000 6.221
Pd Ga Sn Li
2 1 1 4
Cartesian
2.197 0.000 1.463
0.000 2.197 4.758
2.197 2.197 0.000
0.000 0.000 3.111
0.000 2.197 1.444
2.197 0.000 4.777
2.197 2.197 3.111
0.000 0.000 0.000
```

Values from the calculation:
SG ... P-4m2
Final energy ... -0.1356 Ha/atom
Calculated volume ... 15.0 Å³/atom

Which of these has the highest calculated volume? LiGaSnPd

Repeat the sixth record exactly.
Below is a relaxed LiGaSiPd crystal, with properties calculated at the PBE level.

POSCAR file:
```
LiGaSiPd
1.0
4.212 -0.971 -0.098
1.276 -3.974 -1.127
1.983 -0.641 -3.789
Si Pd Ga Li
1 1 1 1
Cartesian
1.868 -1.397 -1.254
3.736 -2.793 -2.507
0.000 0.000 0.000
5.604 -4.190 -3.761
```

Values from the calculation:
SG ... F-43m
Final energy ... -0.1542 Ha/atom
Calculated volume ... 14.3 Å³/atom
Excess energy over the best structure of this formula in the dataset ... 63 meV/atom

The highest calculated volume belongs to which entry? LiGaSnPd

What is the calculated volume in the seventh record? 17.2 Å³/atom